Compound: LiPmMnSe3
Source: Alexandria via LeMat-Bulk
Functional: PBE
Structure: optimized geometry

The space group is P2_1/m (No. 11) and the conventional cell measures 7.893, 3.989 and 8.808 Å, with angles of 90.00, 105.20 and 90.00 degrees. The inequivalent atoms are Li at (0.100, 0.250, 0.096), Pm at (0.202, 0.250, 0.741), Mn at (0.329, 0.750, 0.342), Se at (0.096, 0.250, 0.375), Se at (0.240, 0.750, 0.008) and Se at (0.438, 0.750, 0.654).

For the formation energy from raw total energies, the calculation gives -1189 meV/atom. As for the calculated density: 5.51 g/cm3. The value obtained for the density of states at the Fermi level is 0.79 states/eV/cell.